Ba2MgGaO (PBE, optimized geometry); energy above the lowest structure with this stoichiometry = 216.1 meV per atom; E_form (uncorrected) = -4.1 eV/f.u.
1.0
5.498 0.000 0.000
0.000 5.498 0.000
0.000 0.000 4.846
Ba Mg Ga O
2 1 1 1
direct
0.000 0.500 0.000
0.500 0.000 0.000
0.000 0.000 0.500
0.500 0.500 0.500
0.500 0.500 0.000

---

Ba2MgGaO (PBE, optimized geometry); energy above the lowest structure with this stoichiometry = 0.0 meV per atom; E_form (uncorrected) = -5.2 eV/f.u.
1.0
5.734 0.000 0.000
0.000 5.734 0.000
0.000 0.000 4.210
Ba Mg Ga O
2 1 1 1
direct
0.000 0.500 0.000
0.500 0.000 0.000
0.000 0.000 0.500
0.500 0.500 0.500
0.000 0.000 0.000